[1]
Crystalline LiAcHoSi at its relaxed geometry, computed with PBE-GGA.

```
LiAcHoSi
1.0
5.242 0.000 0.000
2.621 4.540 0.000
2.621 1.513 4.280
Ho Si Li Ac
1 1 1 1
direct
0.750 0.750 0.750
0.000 0.000 0.000
0.500 0.500 0.500
0.250 0.250 0.250
```

Properties
Its formation energy without anion corrections is -0.87 eV per formula unit. The calculation puts the electronic total energy at -4.22 eV per atom. For the magnetization, the calculation gives 0.000 μB per cell. The density of states at the Fermi level is 2.67 states/eV/f.u. The density is 6.96 g/cm³. As for the volume: 101.84 Å³/cell. Its space group is F-43m.

[2]
Crystalline Li2AcHoSi2 at its relaxed geometry, computed with PBE-GGA.

```
Li2AcHoSi2
1.0
4.496 0.000 0.000
-2.248 3.893 0.000
0.000 0.000 7.636
Ac Ho Si Li
1 1 2 2
direct
0.000 0.000 0.000
0.000 0.000 0.500
0.667 0.333 0.718
0.333 0.667 0.282
0.333 0.667 0.687
0.667 0.333 0.313
```

Properties
Its formation energy without anion corrections is -3.14 eV per formula unit. The calculation puts the electronic total energy at -4.42 eV per atom. For the magnetization, the calculation gives 0.000 μB per cell. The density of states at the Fermi level is 1.41 states/eV/f.u. The density is 5.74 g/cm³. As for the volume: 133.65 Å³/cell. Its space group is P-3m1.

[3]
Crystalline Li2AcHoSn2 at its relaxed geometry, computed with PBE-GGA.

```
Li2AcHoSn2
1.0
-2.868 -1.973 -3.291
4.315 -1.893 0.861
-3.149 -4.660 5.538
Ac Li Sn Ho
1 2 2 1
direct
0.000 0.000 0.000
0.333 0.667 0.684
0.667 0.333 0.316
0.667 0.333 0.723
0.333 0.667 0.277
0.000 0.000 0.500
```

Properties
The calculation puts the electronic total energy at -4.07 eV per atom. For the magnetization, the calculation gives 0.000 μB per cell. As for the formation energy: -62.6 kJ/mol of atoms. The density of states at the Fermi level is 1.60 states/eV/f.u. The density is 6.81 g/cm³. As for the volume: 156.86 Å³/cell. Its space group is P-3m1.

[4]
Crystalline Li3Ac2HoSn4 at its relaxed geometry, computed with PBE-GGA.

```
Li3Ac2HoSn4
1.0
-1.657 -2.004 3.942
-1.067 -3.904 -2.433
11.001 -4.472 2.352
Sn Ac Li Ho
4 2 3 1
direct
0.000 0.000 0.000
0.000 0.500 0.346
0.500 0.000 0.654
0.500 0.500 0.000
0.500 0.000 0.229
0.000 0.500 0.771
0.000 0.000 0.500
0.500 0.000 0.876
0.000 0.500 0.124
0.500 0.500 0.500
```

Properties
The calculation puts the electronic total energy at -4.06 eV per atom. For the magnetization, the calculation gives 0.000 μB per cell. As for the formation energy: -58.6 kJ/mol of atoms. The density of states at the Fermi level is 2.13 states/eV/f.u. The density is 6.86 g/cm³. As for the volume: 269.95 Å³/cell. Its space group is P-4m2.

[5]
Crystalline LiAcHoSn at its relaxed geometry, computed with PBE-GGA.

```
LiAcHoSn
1.0
-4.050 -3.686 0.267
1.175 -5.347 0.293
-0.898 -2.753 4.655
Ac Sn Ho Li
1 1 1 1
direct
0.500 0.500 0.500
0.250 0.250 0.250
0.000 0.000 0.000
0.750 0.750 0.750
```

Properties
The calculation puts the electronic total energy at -3.98 eV per atom. For the magnetization, the calculation gives 0.000 μB per cell. As for the formation energy: -31.9 kJ/mol of atoms. The density of states at the Fermi level is 3.11 states/eV/f.u. The density is 7.38 g/cm³. As for the volume: 116.54 Å³/cell. Its space group is F-43m.

[6]
Crystalline LiAc3Ho2Te6 at its relaxed geometry, computed with PBE-GGA.

```
LiAc3Ho2Te6
1.0
4.523 0.000 0.000
0.000 9.068 0.307
-2.262 -2.627 9.540
Te Ac Li Ho
6 3 1 2
direct
0.007 0.230 0.014
0.328 0.429 0.655
0.660 0.100 0.319
0.672 0.571 0.345
0.993 0.770 0.986
0.340 0.900 0.681
0.500 0.500 0.000
0.835 0.166 0.670
0.165 0.834 0.330
0.500 0.000 0.000
0.167 0.339 0.334
0.833 0.661 0.666
```

Properties
Its formation energy without anion corrections is -16.46 eV per formula unit. The calculation puts the electronic total energy at -4.89 eV per atom. For the magnetization, the calculation gives 0.000 μB per cell. The density of states at the Fermi level is 4.79 states/eV/f.u. The density is 7.50 g/cm³. As for the volume: 394.94 Å³/cell. Its space group is C2/m.